A plane-wave DFT calculation with GGA-PBE was carried out for a relaxed DyPuZn crystal.

## Properties
Formation energy (meV per atom): 62
Energy relative to the lowest polymorph listed for this composition (meV/atom): 168
VASP energy (eV per atom): -6.67

a b c (Å): 3.258 5.082 5.082
angles (deg): 120.00 90.00 90.00
Element x y z (fractional)
Pu  0.289  0.333  0.667
Dy  0.713  0.667  0.333
Zn  0.998  0.000  0.000

---

A plane-wave DFT calculation with GGA-PBE was carried out for a relaxed CoRu crystal.

## Properties
Formation energy (meV per atom): 856
VASP energy (eV per atom): -7.34

a b c (Å): 4.768 4.768 4.760
angles (deg): 90.00 90.00 90.00
Element x y z (fractional)
Ru  0.687  0.687  0.000
Ru  0.813  0.187  0.500
Ru  0.187  0.813  0.500
Ru  0.313  0.313  0.000
Co  0.323  0.323  0.500
Co  0.177  0.823  0.000
Co  0.677  0.677  0.500
Co  0.823  0.177  0.000

---

A plane-wave DFT calculation with GGA-PBE was carried out for a relaxed V2Ni2Ru5 crystal.

## Properties
Formation energy (meV per atom): -62
VASP energy (eV per atom): -8.53

a b c (Å): 3.715 8.016 7.989
angles (deg): 146.56 90.00 103.40
Element x y z (fractional)
Ni  0.665  0.330  0.776
Ni  0.335  0.670  0.224
Ru  0.996  0.992  0.325
Ru  0.681  0.363  0.133
Ru  0.319  0.637  0.867
Ru  0.000  0.000  0.000
Ru  0.004  0.008  0.675
V  0.345  0.691  0.573
V  0.655  0.309  0.427

---

A plane-wave DFT calculation with GGA-PBE was carried out for a relaxed InRePt2 crystal.

## Properties
Formation energy (meV per atom): 8
VASP energy (eV per atom): -6.81

a b c (Å): 4.984 4.984 2.818
angles (deg): 90.00 90.00 111.05
Element x y z (fractional)
Pt  0.000  0.000  0.000
Pt  0.500  0.500  0.000
Re  0.500  0.000  0.500
In  0.000  0.500  0.500

---

A plane-wave DFT calculation with GGA-PBE was carried out for a relaxed Ce2Sm3NpAs6 crystal.

## Properties
Formation energy (meV per atom): -1353
VASP energy (eV per atom): -6.92

a b c (Å): 4.192 8.401 9.392
angles (deg): 103.13 102.90 90.00
Element x y z (fractional)
As  0.665  0.083  0.329
As  0.000  0.756  0.001
As  0.668  0.582  0.335
As  0.335  0.917  0.671
As  0.332  0.418  0.665
As  0.000  0.244  0.999
Ce  0.166  0.332  0.331
Ce  0.834  0.668  0.669
Sm  0.167  0.833  0.335
Sm  0.500  0.500  0.000
Sm  0.833  0.167  0.665
Np  0.500  0.000  0.000

---

A plane-wave DFT calculation with GGA-PBE was carried out for a relaxed MoOsRh crystal.

## Properties
Formation energy (meV per atom): 15
Energy relative to the lowest polymorph listed for this composition (meV/atom): 145
VASP energy (eV per atom): -9.79

a b c (Å): 6.138 6.138 2.760
angles (deg): 77.01 77.01 25.98
Element x y z (fractional)
Os  0.335  0.335  0.665
Rh  0.668  0.668  0.332
Mo  0.998  0.998  0.002

---

Copy entry 3 word for word.
A plane-wave DFT calculation with GGA-PBE was carried out for a relaxed V2Ni2Ru5 crystal.

## Properties
Formation energy (meV per atom): -62
VASP energy (eV per atom): -8.53

a b c (Å): 3.715 8.016 7.989
angles (deg): 146.56 90.00 103.40
Element x y z (fractional)
Ni  0.665  0.330  0.776
Ni  0.335  0.670  0.224
Ru  0.996  0.992  0.325
Ru  0.681  0.363  0.133
Ru  0.319  0.637  0.867
Ru  0.000  0.000  0.000
Ru  0.004  0.008  0.675
V  0.345  0.691  0.573
V  0.655  0.309  0.427

---

The lowest VASP energy belongs to which entry?
MoOsRh

---

Which of these has the highest formation energy?
CoRu